1.
VASP calculation (PBE) on Al6NiAg3 after structural relaxation.

abc: 4.192 7.651 10.296
angles: 90.00 90.00 90.00
Positions (direct):
Ni 0.500 0.500 0.500
Ni 0.000 0.000 0.000
Ag 0.000 0.000 0.500
Ag 0.500 0.500 0.000
Ag 0.500 0.149 0.344
Ag 0.000 0.351 0.844
Ag 0.000 0.649 0.156
Ag 0.500 0.851 0.656
Al 0.000 0.027 0.761
Al 0.000 0.650 0.567
Al 0.500 0.850 0.067
Al 0.000 0.710 0.877
Al 0.500 0.473 0.261
Al 0.500 0.150 0.933
Al 0.000 0.290 0.123
Al 0.500 0.527 0.739
Al 0.000 0.973 0.239
Al 0.000 0.350 0.433
Al 0.500 0.790 0.377
Al 0.500 0.210 0.623

## Properties
space group	Pnnm
energy relative to the elements	-108	meV per atom
total energy	-3.7873	eV per atom


2.
VASP calculation (PBE) on RbBaH after structural relaxation.

abc: 4.564 4.564 14.104
angles: 90.00 90.00 90.00
Positions (direct):
H 0.500 0.500 0.000
H 0.000 0.000 0.000
Ba 0.000 0.500 0.904
Ba 0.500 0.000 0.096
Rb 0.000 0.500 0.360
Rb 0.500 0.000 0.640

## Properties
space group	P4/nmm
total energy	-2.3099	eV per atom


3.
VASP calculation (PBE) on Y3Sb after structural relaxation.

abc: 3.648 3.648 10.610
angles: 90.00 90.00 120.00
Each line ends with the local moment (μB).
Positions (direct):
Y 0.000 0.000 0.500  0.22
Y 0.667 0.333 0.772  0.06
Y 0.667 0.333 0.228  0.06
Sb 0.000 0.000 0.000  0.01

## Properties
space group	P-6m2
total energy	-6.1927	eV per atom
uncorrected formation energy	-0.314	eV per atom


4.
VASP calculation (PBE) on Mg2ReIr after structural relaxation.

abc: 5.375 5.375 5.375
angles: 148.63 127.80 62.18
Positions (direct):
Re 0.750 0.250 0.500
Mg 0.010 0.010 0.000
Mg 0.490 0.490 0.000
Ir 0.250 0.750 0.500

## Properties
space group	Immm
energy relative to the elements	123	meV per atom
total energy	-6.0017	eV per atom


5.
VASP calculation (PBE) on MgCo3W after structural relaxation.

abc: 4.457 4.457 4.457
angles: 90.00 90.00 90.00
Positions (direct):
Co 0.000 0.500 0.000
Co 0.000 0.000 0.500
Co 0.500 0.000 0.000
Mg 0.500 0.500 0.500
W 0.000 0.000 0.000

## Properties
space group	Pm-3m
energy relative to the elements	1162	meV per atom
total energy	-6.0111	eV per atom


6.
VASP calculation (PBE) on NaLuZnAu after structural relaxation.

abc: 4.913 4.913 4.913
angles: 60.00 60.00 60.00
Positions (direct):
Au 0.750 0.750 0.750
Zn 0.250 0.250 0.250
Na 0.500 0.500 0.500
Lu 0.000 0.000 0.000

## Properties
space group	F-43m
energy relative to the elements	-299	meV per atom
total energy	-2.8973	eV per atom


Which of these has the highest total energy?
RbBaH